# 1
First-principles (PBE) data for a relaxed Cs4Rb2I3Cl2 crystal, as listed in Alexandria via LeMat-Bulk.

Summary:
Space group = I4/mmm
E_form (uncorrected) = -141 kJ per mole of atoms
Spin magnetization = 0.00 μB/cell

a b c (Å): 6.6797 6.6797 15.4973
angles (deg): 102.45 102.45 90.00
Fractional coordinates of all 11 atoms:
Cl 0.6058 0.6058 0.2115
Cl 0.3942 0.3942 0.7885
Cs 0.9124 0.4124 0.8248
Cs 0.0876 0.5876 0.1752
Cs 0.5876 0.0876 0.1752
Cs 0.4124 0.9124 0.8248
I 0.8400 0.8400 0.6799
I 0.1600 0.1600 0.3201
I 0.0000 0.0000 0.0000
Rb 0.2833 0.2833 0.5666
Rb 0.7167 0.7167 0.4334



# 2
First-principles (PBE) data for a relaxed Y2PuAl9 crystal, as listed in Alexandria via LeMat-Bulk.

Summary:
Space group = R-3m
Formation energy = -4.28 eV per formula unit
Spin magnetization = 5.98 μB/cell

a b c (Å): 5.5392 5.5392 9.3784
angles (deg): 72.82 72.82 60.00
Fractional coordinates of all 12 atoms:
Y 0.8596 0.8596 0.4212
Y 0.1404 0.1404 0.5788
Al 0.9226 0.4138 0.2497
Al 0.5862 0.5862 0.7503
Al 0.5862 0.0774 0.7503
Al 0.0774 0.5862 0.7503
Al 0.4138 0.9226 0.2497
Al 0.3348 0.3348 0.9957
Al 0.6652 0.6652 0.0043
Al 0.4138 0.4138 0.2497
Al 0.5000 0.5000 0.5000
Pu 0.0000 0.0000 0.0000